No. 1
The following is a DFT calculation (GGA-PBE) of crystalline NdHoZr2O7 at its relaxed geometry.

ΔE_f (raw): -78.6 kcal/mol of atoms
Total moment: 0.00 μB per cell
DOS(E_F): 0.0 states/eV/cell

a b c (Å): 7.5480 7.5515 10.6850
angles (deg): 90.00 90.00 90.00
Space group Imma (No. 74)
One atom of each set of equivalent atoms:
Nd: 0.0000 0.0000 0.0000 (multiplicity 4)
Ho: 0.2500 0.2500 0.2500 (multiplicity 4)
Zr: 0.0000 0.0000 0.5000 (multiplicity 4)
Zr: 0.2500 0.2500 0.7500 (multiplicity 4)
O: 0.0000 0.2500 0.1344 (multiplicity 4)
O: 0.0000 0.2500 0.4125 (multiplicity 4)
O: 0.0000 0.2500 0.8387 (multiplicity 4)
O: 0.2122 0.0347 0.6266 (multiplicity 16)

No. 2
The following is a DFT calculation (GGA-PBE) of crystalline Nd2HoOs at its relaxed geometry.

Total moment: 0.00 μB per cell
Formation energy from the elements: 403 meV/atom
DOS(E_F): 17.5 states/eV/cell
ΔE to the lowest computed polymorph: 0.550 eV per atom

a b c (Å): 3.5763 3.5763 32.7640
angles (deg): 90.00 90.00 120.00
Space group R-3m (No. 166, hexagonal axes)
One atom of each set of equivalent atoms:
Nd: 0.0000 0.0000 0.1056 (multiplicity 6)
Ho: 0.0000 0.0000 0.0000 (multiplicity 3)
Os: 0.0000 0.0000 0.5000 (multiplicity 3)